No. 1
The following is a PBE-GGA calculation of a relaxed structure of Ni4Sb2H, from Alexandria.

a b c (Å): 3.786 3.786 12.566
angles (deg): 90.00 90.00 90.00
Fractional positions:
Ni 0.000 0.000 0.139
Ni 0.000 0.000 0.861
Ni 0.000 0.500 0.000
Ni 0.000 0.500 0.500
Ni 0.500 0.000 0.000
Ni 0.500 0.000 0.500
Ni 0.500 0.500 0.361
Ni 0.500 0.500 0.639
Sb 0.000 0.000 0.344
Sb 0.000 0.000 0.656
Sb 0.500 0.500 0.156
Sb 0.500 0.500 0.844
H 0.000 0.000 0.000
H 0.500 0.500 0.500

SG: I4/mmm
Spin magnetization: 0.000 μB per atom
DOS at the Fermi energy: 8.73 states/eV/cell
E: -71.62 eV per cell

=====

No. 2
The following is a PBE-GGA calculation of a relaxed structure of TaBeTeN2, from Alexandria.

a b c (Å): 3.796 3.796 4.744
angles (deg): 90.00 90.00 90.00
Fractional positions:
Ta 0.000 0.000 0.000
Be 0.500 0.500 0.500
Te 0.500 0.500 0.000
N 0.000 0.500 0.500
N 0.500 0.000 0.500

SG: P4/mmm
Spin magnetization: 0.000 μB per atom
Excess energy over the best structure of this formula in the dataset: 0.977 eV per atom
DOS at the Fermi energy: 3.29 states/eV/cell